# 1
Here is a relaxed structure of Cs2Na6Tl from the Alexandria database. Energies are from PBE.

a = 12.0087 Å, b = 14.1377 Å, c = 5.7570 Å
α = 90.00°, β = 90.00°, γ = 90.00°
Space group Cmmm (No. 65)
Symmetry-distinct sites (fractional):
Cs  0.0000  0.2010  0.0000 x4
Na  0.1419  0.5000  0.0000 x4
Na  0.2207  0.3697  0.5000 x8
Tl  0.0000  0.5000  0.5000 x2

E above lowest polymorph   0.018 eV per atom
DOS(E_F)   9.82 states/eV/cell
Formation energy from the elements   0.020 eV per atom
Electronic total energy   -1.312 eV per atom

***

# 2
Here is a relaxed structure of Cs2Na5Tl12 from the Alexandria database. Energies are from PBE.

a = 11.4716 Å, b = 11.4716 Å, c = 16.5902 Å
α = 90.00°, β = 90.00°, γ = 120.00°
Space group R-3m (No. 166, hexagonal axes)
Symmetry-distinct sites (fractional):
Cs  0.0000  0.0000  0.1525 x6
Na  0.0000  0.0000  0.4022 x6
Na  0.0000  0.5000  0.0000 x9
Tl  0.0000  0.2899  0.5000 x18
Tl  0.0023  0.5012  0.6497 x18

DOS(E_F)   28.55 states/eV/cell
Formation energy from the elements   -0.079 eV per atom
Electronic total energy   -2.010 eV per atom

***

# 3
Here is a relaxed structure of CsNa2Tl3 from the Alexandria database. Energies are from PBE.

a = 13.3625 Å, b = 10.7801 Å, c = 6.3526 Å
α = 90.00°, β = 90.00°, γ = 90.00°
Space group Cmcm (No. 63)
Symmetry-distinct sites (fractional):
Cs  0.0000  0.1627  0.2500 x4
Na  0.1972  0.5000  0.0000 x8
Tl  0.0000  0.3925  0.7500 x4
Tl  0.1937  0.2271  0.7500 x8

DOS(E_F)   14.23 states/eV/cell
Formation energy from the elements   -0.056 eV per atom
Electronic total energy   -1.821 eV per atom

***

# 4
Here is a relaxed structure of CsNa2TlZn from the Alexandria database. Energies are from PBE.

a = 5.9784 Å, b = 5.9784 Å, c = 5.4965 Å
α = 90.00°, β = 90.00°, γ = 90.00°
Space group P4/mmm (No. 123)
Symmetry-distinct sites (fractional):
Cs  0.0000  0.0000  0.0000 x1
Na  0.0000  0.5000  0.5000 x2
Tl  0.5000  0.5000  0.0000 x1
Zn  0.5000  0.5000  0.5000 x1

E above lowest polymorph   0.000 eV per atom
DOS(E_F)   1.47 states/eV/cell
Formation energy from the elements   0.033 eV per atom
Electronic total energy   -1.394 eV per atom

***

# 5
Here is a relaxed structure of CsNaTl2Zn from the Alexandria database. Energies are from PBE.

a = 5.5630 Å, b = 5.5630 Å, c = 5.9611 Å
α = 90.00°, β = 90.00°, γ = 90.00°
Space group P4/mmm (No. 123)
Symmetry-distinct sites (fractional):
Cs  0.0000  0.0000  0.0000 x1
Na  0.5000  0.5000  0.0000 x1
Tl  0.0000  0.5000  0.5000 x2
Zn  0.5000  0.5000  0.5000 x1

DOS(E_F)   2.76 states/eV/cell
Formation energy from the elements   0.055 eV per atom
Electronic total energy   -1.580 eV per atom

***

# 6
Here is a relaxed structure of CsNa2TlZn from the Alexandria database. Energies are from PBE.

a = 6.1028 Å, b = 6.1028 Å, c = 5.5844 Å
α = 90.00°, β = 90.00°, γ = 90.00°
Space group P4/mmm (No. 123)
Symmetry-distinct sites (fractional):
Cs  0.0000  0.0000  0.0000 x1
Na  0.0000  0.5000  0.5000 x2
Tl  0.5000  0.5000  0.5000 x1
Zn  0.5000  0.5000  0.0000 x1

E above lowest polymorph   0.010 eV per atom
DOS(E_F)   1.91 states/eV/cell
Formation energy from the elements   0.042 eV per atom
Electronic total energy   -1.384 eV per atom